Record 1
HgCO2: optimized geometry, GGA-PBE.

Summary:
* SG: R-3m
* density: 3.7 Mg/m³
* formation energy without anion corrections: -0.913 eV/atom
* offset from the most stable computed form: 27 meV per atom
* total magnetization: 0.0000 μB/atom

a b c (Å): 9.4232 9.4232 9.4232
angles (deg): 22.70 22.70 22.70
Last column: nearest neighbours and their distance in Å.
Positions (direct):
O 0.0428 0.0428 0.0428  1 C 1.18
O 0.9572 0.9572 0.9572  1 C 1.18
Hg 0.5000 0.5000 0.5000  6 Hg 3.71, 6 O 4.03
C 0.0000 0.0000 0.0000  2 O 1.18

Record 2
HgCO2: optimized geometry, GGA-PBE.

Summary:
* SG: C2/m
* density: 3.6 Mg/m³
* formation energy without anion corrections: -0.940 eV/atom
* offset from the most stable computed form: 0 meV per atom
* total magnetization: 0.0000 μB/atom

a b c (Å): 4.8088 8.6937 9.3640
angles (deg): 157.42 104.88 90.00
Last column: nearest neighbours and their distance in Å.
Positions (direct):
O 0.5969 0.5427 0.1938  1 C 1.18
O 0.9031 0.9573 0.8062  1 C 1.18
Hg 0.2500 0.2500 0.5000  4 Hg 3.60, 2 O 3.92
C 0.7500 0.7500 0.5000  2 O 1.18

Record 3
HgC3O: optimized geometry, GGA-PBE.

Summary:
* SG: Pm-3m
* density: 5.1 Mg/m³
* formation energy without anion corrections: 4.004 eV/atom
* offset from the most stable computed form: 908 meV per atom
* total magnetization: 0.5015 μB/atom

a b c (Å): 4.3479 4.3479 4.3479
angles (deg): 90.00 90.00 90.00
Last column: nearest neighbours and their distance in Å.
Positions (direct):
O 0.5000 0.5000 0.5000  12 C 3.07
Hg 0.0000 0.0000 0.0000  6 C 2.17
C 0.0000 0.0000 0.5000  2 Hg 2.17
C 0.0000 0.5000 0.0000  2 Hg 2.17
C 0.5000 0.0000 0.0000  2 Hg 2.17

Record 4
HgCO2: optimized geometry, GGA-PBE.

Summary:
* SG: Fd-3m
* density: 9.2 Mg/m³
* formation energy without anion corrections: 0.488 eV/atom
* offset from the most stable computed form: 1428 meV per atom
* total magnetization: 0.0000 μB/atom

a b c (Å): 5.0069 5.0069 5.0071
angles (deg): 60.00 60.00 90.00
Last column: nearest neighbours and their distance in Å.
Positions (direct):
Hg 0.0000 0.0000 0.0000  12 O 2.94, 4 Hg 3.07, 4 C 3.07
Hg 0.7500 0.2500 0.5000  12 O 2.94, 4 Hg 3.07, 4 C 3.07
C 0.2500 0.7500 0.5000  4 O 1.53
C 0.5000 0.5000 0.0000  4 O 1.53
O 0.3750 0.6249 0.7500  2 C 1.53
O 0.8750 0.6251 0.7500  2 C 1.53
O 0.3751 0.1250 0.2500  2 C 1.53
O 0.3749 0.6250 0.2500  2 C 1.53

Record 5
HgC3O: optimized geometry, GGA-PBE.

Summary:
* SG: Pm-3m
* density: 7.7 Mg/m³
* formation energy without anion corrections: 3.096 eV/atom
* offset from the most stable computed form: 0 meV per atom
* total magnetization: 0.0000 μB/atom

a b c (Å): 3.7951 3.7951 3.7951
angles (deg): 90.00 90.00 90.00
Last column: nearest neighbours and their distance in Å.
Positions (direct):
Hg 0.5000 0.5000 0.5000  12 C 2.68
O 0.0000 0.0000 0.0000  6 C 1.90
C 0.0000 0.0000 0.5000  2 O 1.90
C 0.0000 0.5000 0.0000  2 O 1.90
C 0.5000 0.0000 0.0000  2 O 1.90

Record 6
HgCO2: optimized geometry, GGA-PBE.

Summary:
* SG: Fm-3m
* density: 9.2 Mg/m³
* formation energy without anion corrections: 1.702 eV/atom
* offset from the most stable computed form: 2641 meV per atom
* total magnetization: 0.0000 μB/atom

a b c (Å): 3.9713 3.9713 3.9713
angles (deg): 60.00 60.00 60.00
Last column: nearest neighbours and their distance in Å.
Positions (direct):
O 0.7500 0.7500 0.7500  4 C 2.43, 4 Hg 2.43
O 0.2500 0.2500 0.2500  4 Hg 2.43, 4 C 2.43
Hg 0.5000 0.5000 0.5000  8 O 2.43
C 0.0000 0.0000 0.0000  8 O 2.43

Record 7
HgCO2: optimized geometry, GGA-PBE.

Summary:
* SG: R-3m
* density: 9.1 Mg/m³
* formation energy without anion corrections: 0.797 eV/atom
* offset from the most stable computed form: 1737 meV per atom
* total magnetization: 0.0000 μB/atom

a b c (Å): 7.5457 7.5457 7.5457
angles (deg): 20.14 20.14 20.14
Last column: nearest neighbours and their distance in Å.
Positions (direct):
C 0.5000 0.5000 0.5000  6 O 1.76
O 0.1271 0.1271 0.1271  3 C 1.76
O 0.8729 0.8729 0.8729  3 C 1.76
Hg 0.0000 0.0000 0.0000  6 Hg 2.64, 2 O 2.82

Record 8
HgC2O4: optimized geometry, GGA-PBE.

Summary:
* SG: P2_1/c
* density: 5.5 Mg/m³
* formation energy without anion corrections: -0.865 eV/atom
* total magnetization: 0.0000 μB/atom

a b c (Å): 5.3495 5.1093 6.7655
angles (deg): 71.27 90.00 90.00
Last column: nearest neighbours and their distance in Å.
Positions (direct):
O 0.3268 0.3070 0.9305  1 C 1.30
O 0.2627 0.8882 0.6658  1 C 1.24
O 0.6732 0.6930 0.0695  1 C 1.30
O 0.8268 0.6930 0.5695  1 C 1.30
O 0.1732 0.3070 0.4305  1 C 1.30
O 0.2373 0.8882 0.1658  1 C 1.24
O 0.7373 0.1118 0.3342  1 C 1.24
O 0.7627 0.1118 0.8342  1 C 1.24
C 0.6279 0.9503 0.9680  2 O 1.24-1.30
C 0.8721 0.9503 0.4680  2 O 1.24-1.30
C 0.1279 0.0497 0.5320  2 O 1.24-1.30
C 0.3721 0.0497 0.0320  2 O 1.24-1.30
Hg 0.0000 0.5000 0.0000  2 O 2.13
Hg 0.5000 0.5000 0.5000  2 O 2.13

Record 9
HgPCO2: optimized geometry, GGA-PBE.

Summary:
* SG: P4/mmm
* density: 8.1 Mg/m³
* formation energy without anion corrections: 1.088 eV/atom
* offset from the most stable computed form: 0 meV per atom
* total magnetization: 0.0626 μB/atom

a b c (Å): 3.6898 3.6898 4.1353
angles (deg): 90.00 90.00 90.00
Last column: nearest neighbours and their distance in Å.
Positions (direct):
C 0.0000 0.0000 0.0000  4 O 1.84
P 0.0000 0.0000 0.5000  2 C 2.07
Hg 0.5000 0.5000 0.5000  4 P 2.61, 8 O 2.77
O 0.5000 0.0000 0.0000  2 C 1.84
O 0.0000 0.5000 0.0000  2 C 1.84

Record 10
HgPCO2: optimized geometry, GGA-PBE.

Summary:
* SG: P4/mmm
* density: 5.2 Mg/m³
* formation energy without anion corrections: 2.114 eV/atom
* offset from the most stable computed form: 1026 meV per atom
* total magnetization: 0.1135 μB/atom

a b c (Å): 3.9875 3.9875 5.5006
angles (deg): 90.00 90.00 90.00
Last column: nearest neighbours and their distance in Å.
Positions (direct):
O 0.5000 0.0000 0.0000  2 Hg 1.99
O 0.0000 0.5000 0.0000  2 Hg 1.99
Hg 0.0000 0.0000 0.0000  4 O 1.99
P 0.0000 0.0000 0.5000  2 Hg 2.75, 4 C 2.82
C 0.5000 0.5000 0.5000  4 P 2.82

Record 11
PaHg2CO6: optimized geometry, GGA-PBE.

Summary:
* SG: P-1
* density: 7.3 Mg/m³
* formation energy without anion corrections: -1.370 eV/atom
* total magnetization: 0.0000 μB/atom

a b c (Å): 6.0416 6.0364 6.7292
angles (deg): 56.33 56.43 76.39
Last column: nearest neighbours and their distance in Å.
Positions (direct):
O 0.6565 0.3435 0.9988  1 C 1.17
O 0.8997 0.8988 0.8060  1 Pa 2.09
O 0.1003 0.1012 0.1940  1 Pa 2.09
O 0.2941 0.2930 0.6073  1 Pa 2.09
O 0.7059 0.7070 0.3927  1 Pa 2.09
O 0.3435 0.6565 0.0012  1 C 1.17
Hg 0.2497 0.7502 0.5008  4 O 2.42
Hg 0.7503 0.2498 0.4992  4 O 2.42
Pa 0.0000 0.0000 0.0000  4 O 2.09
C 0.5000 0.5000 0.0000  2 O 1.17

Record 12
PaHgCO5: optimized geometry, GGA-PBE.

Summary:
* SG: C2/c
* density: 7.6 Mg/m³
* formation energy without anion corrections: -1.784 eV/atom
* total magnetization: 0.0000 μB/atom

a b c (Å): 5.7375 5.7375 8.1577
angles (deg): 107.18 107.18 103.52
Last column: nearest neighbours and their distance in Å.
Positions (direct):
Pa 0.0000 0.0000 0.0000  6 O 2.13-2.23
Pa 0.0000 0.0000 0.5000  6 O 2.13-2.23
O 0.0691 0.9309 0.2500  2 Pa 2.13
O 0.8420 0.2817 0.1422  1 C 1.41
O 0.2817 0.8420 0.6422  1 C 1.41
O 0.9309 0.0691 0.7500  2 Pa 2.13
O 0.7183 0.1580 0.3578  1 C 1.41
O 0.7720 0.5744 0.3677  1 C 1.41
O 0.5744 0.7720 0.8677  1 C 1.41
O 0.1580 0.7183 0.8578  1 C 1.41
O 0.4256 0.2280 0.1323  1 C 1.41
O 0.2280 0.4256 0.6323  1 C 1.41
C 0.3101 0.6899 0.7500  4 O 1.41
C 0.6899 0.3101 0.2500  4 O 1.41
Hg 0.6587 0.3413 0.7500  3 O 2.45-2.59
Hg 0.3413 0.6587 0.2500  3 O 2.45-2.59

> Which value of total magnetization does entry 11 give?

0.0000 μB/atom

> Which formula does entry 8 have?

HgC2O4

> Among the records above, which one has the highest formation energy without anion corrections?

number 3

Copy entry 12 word for word.
PaHgCO5: optimized geometry, GGA-PBE.

Summary:
* SG: C2/c
* density: 7.6 Mg/m³
* formation energy without anion corrections: -1.784 eV/atom
* total magnetization: 0.0000 μB/atom

a b c (Å): 5.7375 5.7375 8.1577
angles (deg): 107.18 107.18 103.52
Last column: nearest neighbours and their distance in Å.
Positions (direct):
Pa 0.0000 0.0000 0.0000  6 O 2.13-2.23
Pa 0.0000 0.0000 0.5000  6 O 2.13-2.23
O 0.0691 0.9309 0.2500  2 Pa 2.13
O 0.8420 0.2817 0.1422  1 C 1.41
O 0.2817 0.8420 0.6422  1 C 1.41
O 0.9309 0.0691 0.7500  2 Pa 2.13
O 0.7183 0.1580 0.3578  1 C 1.41
O 0.7720 0.5744 0.3677  1 C 1.41
O 0.5744 0.7720 0.8677  1 C 1.41
O 0.1580 0.7183 0.8578  1 C 1.41
O 0.4256 0.2280 0.1323  1 C 1.41
O 0.2280 0.4256 0.6323  1 C 1.41
C 0.3101 0.6899 0.7500  4 O 1.41
C 0.6899 0.3101 0.2500  4 O 1.41
Hg 0.6587 0.3413 0.7500  3 O 2.45-2.59
Hg 0.3413 0.6587 0.2500  3 O 2.45-2.59